No. 1
{"formula": "Ag3Te2Se4", "functional": "PBE", "state": "relaxed", "final_energy_ev_per_cell": -28.66, "raw_formation_energy_kcal_per_mol_atoms": 0.28, "cell": [[6.942, -1.867, 0.000], [6.942, 1.867, 0.000], [-4.398, 0.000, 9.304]], "species": ["Ag", "Ag", "Ag", "Te", "Te", "Se", "Se", "Se", "Se"], "frac_coords": [[0.000, 0.000, 0.000], [0.227, 0.227, 0.868], [0.773, 0.773, 0.132], [0.417, 0.417, 0.551], [0.583, 0.583, 0.449], [0.256, 0.256, 0.311], [0.421, 0.421, 0.102], [0.579, 0.579, 0.898], [0.744, 0.744, 0.689]]}


No. 2
{"formula": "BaErGaSe4", "functional": "PBE", "state": "relaxed", "final_energy_ev_per_cell": -67.13, "raw_formation_energy_kcal_per_mol_atoms": -33.32, "cell": [[6.797, 0.000, 0.000], [0.000, 7.068, 0.000], [-2.629, 0.000, 8.347]], "species": ["Ba", "Ba", "Er", "Er", "Ga", "Ga", "Se", "Se", "Se", "Se", "Se", "Se", "Se", "Se"], "frac_coords": [[0.242, 0.250, 0.058], [0.758, 0.750, 0.942], [0.226, 0.250, 0.555], [0.774, 0.750, 0.445], [0.230, 0.750, 0.328], [0.770, 0.250, 0.672], [0.014, 0.510, 0.716], [0.014, 0.990, 0.716], [0.429, 0.750, 0.143], [0.458, 0.750, 0.593], [0.542, 0.250, 0.407], [0.571, 0.250, 0.857], [0.986, 0.010, 0.284], [0.986, 0.490, 0.284]]}


What did the second record say?
{"formula": "BaErGaSe4", "functional": "PBE", "state": "relaxed", "final_energy_ev_per_cell": -67.13, "raw_formation_energy_kcal_per_mol_atoms": -33.32, "cell": [[6.797, 0.000, 0.000], [0.000, 7.068, 0.000], [-2.629, 0.000, 8.347]], "species": ["Ba", "Ba", "Er", "Er", "Ga", "Ga", "Se", "Se", "Se", "Se", "Se", "Se", "Se", "Se"], "frac_coords": [[0.242, 0.250, 0.058], [0.758, 0.750, 0.942], [0.226, 0.250, 0.555], [0.774, 0.750, 0.445], [0.230, 0.750, 0.328], [0.770, 0.250, 0.672], [0.014, 0.510, 0.716], [0.014, 0.990, 0.716], [0.429, 0.750, 0.143], [0.458, 0.750, 0.593], [0.542, 0.250, 0.407], [0.571, 0.250, 0.857], [0.986, 0.010, 0.284], [0.986, 0.490, 0.284]]}


- Which formula does entry 2 have?
  BaErGaSe4